A plane-wave DFT calculation with PBE+U was carried out for a relaxed structure of Co2SiIrF.

a b c (Å): 4.5129 4.5129 3.4796
angles (deg): 90.00 90.00 90.00
Fractional positions:
1 Co 0.0000 0.5000 0.0000
2 Co 0.5000 0.0000 0.0000
3 Si 0.0000 0.0000 0.0000
4 Ir 0.5000 0.5000 0.5000
5 F 0.0000 0.0000 0.5000

## Properties
The density of states at the Fermi level comes out at 2.04 states/eV/f.u. As for the size of the total moment: 4.16 μB/cell. The calculation puts the total energy at -4.864 eV per atom.